{"formula": "Nd3Sm3Tl", "functional": "PBE", "state": "optimized geometry", "delta_e_f_ev_per_fu": -0.47, "de_polymorph_ev_per_fu": 0.00, "m_tot_mub_per_atom": 0.00, "sg": "No. 176", "rho_g_cm3": 7.92, "lattice_angstrom": [[9.5884, 0.0000, 0.0000], [-4.7942, 8.3038, 0.0000], [0.0000, 0.0000, 5.7285]], "species": ["Nd", "Nd", "Nd", "Nd", "Nd", "Nd", "Sm", "Sm", "Sm", "Sm", "Sm", "Sm", "Tl", "Tl"], "frac_coords": [[0.1078, 0.4794, 0.2500], [0.3716, 0.8922, 0.2500], [0.4794, 0.3716, 0.7500], [0.5206, 0.6284, 0.2500], [0.6284, 0.1078, 0.7500], [0.8922, 0.5206, 0.7500], [0.0634, 0.2433, 0.7500], [0.1800, 0.9366, 0.7500], [0.2433, 0.1800, 0.2500], [0.7567, 0.8200, 0.7500], [0.8200, 0.0634, 0.2500], [0.9366, 0.7567, 0.2500], [0.3333, 0.6667, 0.7500], [0.6667, 0.3333, 0.2500]]}